A plane-wave DFT calculation with GGA-PBE was carried out for an optimized crystal structure of SmEu2Lu.

Calculated values
As for the density of states at the Fermi level: 1.26 states/eV per atom. The value obtained for the offset from the most stable computed form is 46.6 meV per atom. For the formation energy, the calculation gives 0.17 eV per atom. The space-group type is Fm-3m (225).

Cell: 5.845 5.845 5.845 Å, 60.00 60.00 60.00°
Atoms (fractional coordinates):
Sm  0.000  0.000  0.000
Eu  0.250  0.250  0.250
Eu  0.750  0.750  0.750
Lu  0.500  0.500  0.500